! RbMg4Tl12 | Alexandria via LeMat-Bulk | PBE-GGA | relaxed; values from VASP
&SYSTEM
  ibrav = 0, nat = 17, ntyp = 3
/
ATOMIC_SPECIES
Rb 85.47 Rb.upf
Mg 24.30 Mg.upf
Tl 204.38 Tl.upf
ATOMIC_POSITIONS crystal
Rb 0.000 0.000 0.000
Mg 0.000 0.000 0.500
Mg 0.000 0.500 0.000
Mg 0.500 0.000 0.000
Mg 0.500 0.500 0.500
Tl 0.159 0.351 0.511
Tl 0.159 0.649 0.808
Tl 0.192 0.841 0.351
Tl 0.351 0.192 0.841
Tl 0.351 0.511 0.159
Tl 0.489 0.841 0.649
Tl 0.511 0.159 0.351
Tl 0.649 0.489 0.841
Tl 0.649 0.808 0.159
Tl 0.808 0.159 0.649
Tl 0.841 0.351 0.192
Tl 0.841 0.649 0.489
CELL_PARAMETERS angstrom
-5.190 5.190 5.190
5.190 -5.190 5.190
5.190 5.190 -5.190
! Energy of formation from the pure elements (kJ/mol of atoms): 11.88
! Spin magnetization (μB/cell): 0.0
! Fermi-level density of states (states/eV/atom): 0.708
! Symmetry: Im-3 (204)